# 1
A geometry-optimized Zn5Si structure, computed with PBE.

Cell lengths 4.5689, 4.5689, 5.1802 Å; angles 90.00, 90.00, 120.00 degrees
Closest atoms and distances in Å follow each position.
Fractional coordinates of all 6 atoms:
Zn 0.0000 0.6700 0.0000  6 Zn 2.61-2.65
Zn 0.3300 0.3300 0.0000  6 Zn 2.61-2.65
Zn 0.3333 0.6667 0.5000  3 Si 2.64, 3 Zn 2.64
Zn 0.6667 0.3333 0.5000  3 Si 2.64, 3 Zn 2.64
Zn 0.6700 0.0000 0.0000  6 Zn 2.61-2.65
Si 0.0000 0.0000 0.5000  6 Zn 2.64

Results
Raw formation energy   0.17 eV per atom
DFT total energy   -1.80 eV/atom
Volume   93.6 Å³/cell

=====

# 2
A geometry-optimized Pr4Ho5Sc2 structure, computed with PBE.

Cell lengths 9.3916, 9.3916, 7.9238 Å; angles 104.65, 104.65, 31.00 degrees
Closest atoms and distances in Å follow each position.
Fractional coordinates of all 11 atoms:
Pr 0.0436 0.0436 0.2227  3 Pr 3.47-3.58, 5 Ho 3.50-3.63, 4 Sc 3.52-3.55
Pr 0.3176 0.3176 0.5946  1 Sc 3.54, 4 Pr 3.55-3.58, 7 Ho 3.56-3.63
Pr 0.6824 0.6824 0.4054  1 Sc 3.54, 4 Pr 3.55-3.58, 7 Ho 3.56-3.63
Pr 0.9564 0.9564 0.7773  3 Pr 3.47-3.58, 5 Ho 3.50-3.63, 4 Sc 3.52-3.55
Ho 0.1357 0.1357 0.6879  5 Ho 3.45-3.57, 5 Pr 3.50-3.63, 2 Sc 3.50
Ho 0.2265 0.2265 0.1288  5 Ho 3.45-3.57, 3 Sc 3.53-3.54, 4 Pr 3.56-3.63
Ho 0.5000 0.5000 0.5000  2 Sc 3.53, 4 Ho 3.55, 6 Pr 3.56-3.57
Ho 0.7735 0.7735 0.8712  5 Ho 3.45-3.57, 3 Sc 3.53-3.54, 4 Pr 3.56-3.63
Ho 0.8643 0.8643 0.3121  5 Ho 3.45-3.57, 5 Pr 3.50-3.63, 2 Sc 3.50
Sc 0.4093 0.4093 0.0478  6 Ho 3.50-3.54, 5 Pr 3.52-3.55, 1 Sc 3.56
Sc 0.5907 0.5907 0.9522  6 Ho 3.50-3.54, 5 Pr 3.52-3.55, 1 Sc 3.56

Results
DFT total energy   -4.92 eV/atom
ΔE_f   0.5 eV/f.u.
Volume   347.4 Å³/cell

=====

# 3
A geometry-optimized ThMgSc6 structure, computed with PBE.

Cell lengths 4.7110, 4.7110, 9.1165 Å; angles 90.00, 90.00, 90.00 degrees
Closest atoms and distances in Å follow each position.
Fractional coordinates of all 8 atoms:
Th 0.0000 0.0000 0.0000  12 Sc 3.30-3.33
Mg 0.0000 0.0000 0.5000  12 Sc 3.25-3.33
Sc 0.0000 0.5000 0.2541  2 Mg 3.25, 8 Sc 3.25-3.33, 2 Th 3.30
Sc 0.0000 0.5000 0.7459  2 Mg 3.25, 8 Sc 3.25-3.33, 2 Th 3.30
Sc 0.5000 0.0000 0.2541  2 Mg 3.25, 8 Sc 3.25-3.33, 2 Th 3.30
Sc 0.5000 0.0000 0.7459  2 Mg 3.25, 8 Sc 3.25-3.33, 2 Th 3.30
Sc 0.5000 0.5000 0.0000  8 Sc 3.30, 4 Th 3.33
Sc 0.5000 0.5000 0.5000  8 Sc 3.25, 4 Mg 3.33

Results
DFT total energy   -5.83 eV/atom
ΔE_f   0.4 eV/f.u.
Volume   202.3 Å³/cell

=====

# 4
A geometry-optimized Li2BF5 structure, computed with PBE.

Cell lengths 7.0884, 7.0884, 7.0884 Å; angles 136.28, 136.28, 63.55 degrees
Closest atoms and distances in Å follow each position.
Fractional coordinates of all 16 atoms:
Li 0.0000 0.0000 0.0000  6 F 2.00-2.10
Li 0.0000 0.0000 0.5000  6 F 2.00-2.10
Li 0.0000 0.5000 0.0000  6 F 2.00-2.10
Li 0.5000 0.0000 0.5000  6 F 2.00-2.10
B 0.3750 0.6250 0.7500  4 F 1.41
B 0.6250 0.3750 0.2500  4 F 1.41
F 0.1250 0.8750 0.2500  4 Li 2.00
F 0.2210 0.6916 0.5294  1 B 1.41
F 0.3084 0.3378 0.5294  1 B 1.41
F 0.3084 0.7790 0.9706  1 B 1.41
F 0.3378 0.3084 0.0294  1 B 1.41
F 0.6622 0.6916 0.9706  1 B 1.41
F 0.6916 0.2210 0.0294  1 B 1.41
F 0.6916 0.6622 0.4706  1 B 1.41
F 0.7790 0.3084 0.4706  1 B 1.41
F 0.8750 0.1250 0.7500  4 Li 2.00

Results
Raw formation energy   -2.93 eV per atom
DFT total energy   -5.41 eV/atom
Volume   167.9 Å³/cell